Below is an optimized crystal structure of NaSc2Pd, with properties calculated at the PBE-GGA level.

Values from the calculation:
Its uncorrected energy is -4.88 eV per atom. The density of states at the Fermi level is 5.57 states/eV/f.u.

a = 3.3908 Å, b = 3.3908 Å, c = 31.1362 Å
α = 90.00°, β = 90.00°, γ = 120.00°
Space group R-3m (No. 166, hexagonal axes)
Unique sites:
Na 0.0000 0.0000 0.0000
Sc 0.0000 0.0000 0.1068
Pd 0.0000 0.0000 0.5000